(1)
The following is a DFT calculation (PBE-GGA) of a relaxed Pa2Si7Ru12 crystal.

The structure in POSCAR format:
```
Pa2Si7Ru12
1.0
-2.7874 -1.1497 2.5211
-6.3280 -0.4693 -7.2106
5.2514 -7.7093 2.2904
Ru Pa Si
12 2 7
direct
0.5000 0.3949 0.2861
0.5000 0.8912 0.6051
0.5000 0.7139 0.1088
0.0000 0.4830 0.9446
0.0000 0.7713 0.7369
0.0000 0.0554 0.5385
0.5000 0.2243 0.4542
0.0000 0.9656 0.2287
0.5000 0.5458 0.7701
0.0000 0.4615 0.5170
0.0000 0.2631 0.0344
0.5000 0.2299 0.7757
0.0000 0.6667 0.3333
0.5000 0.0000 0.0000
0.5000 0.4331 0.0595
0.0000 0.2267 0.2638
0.5000 0.6264 0.5669
0.0000 0.7362 0.9630
0.0000 0.3333 0.6667
0.5000 0.9405 0.3736
0.0000 0.0370 0.7733
```

Properties
Raw formation energy (eV per atom): -0.6230
Magnetization (μB per formula unit): 0.00
Symmetry: No. 174



(2)
The following is a DFT calculation (PBE-GGA) of a relaxed RbNd4Tl5 crystal.

The structure in POSCAR format:
```
RbNd4Tl5
1.0
3.9563 0.0000 0.0000
0.0000 3.9563 0.0000
0.0000 0.0000 20.5427
Nd Tl Rb
4 5 1
direct
0.0000 0.0000 0.4055
0.0000 0.0000 0.5945
0.0000 0.0000 0.7832
0.0000 0.0000 0.2168
0.5000 0.5000 0.5000
0.5000 0.5000 0.6874
0.5000 0.5000 0.1317
0.5000 0.5000 0.8683
0.5000 0.5000 0.3126
0.0000 0.0000 0.0000
```

Properties
DFT formation energy (eV/atom): -0.3110
Magnetization (μB per formula unit): 0.00
Symmetry: No. 123



(3)
The following is a DFT calculation (PBE-GGA) of a relaxed Pt2AuBr crystal.

The structure in POSCAR format:
```
Pt2AuBr
1.0
-1.9226 3.1132 -0.2802
-3.7961 -2.1548 2.1056
0.0035 0.4370 4.8306
Pt Au Br
2 1 1
direct
0.5000 0.2377 0.2374
0.0000 0.0065 0.0067
0.0000 0.4815 0.4817
0.5000 0.7744 0.7742
```

Properties
Raw formation energy (eV per atom): 0.3145
Excess energy over the best structure of this formula in the dataset (meV per atom): 56
Magnetization (μB per formula unit): 0.00
Symmetry: No. 38



(4)
The following is a DFT calculation (PBE-GGA) of a relaxed Sm12YIn6 crystal.

The structure in POSCAR format:
```
Sm12YIn6
1.0
8.2394 0.6748 0.8084
-0.5821 8.2464 0.8084
-0.5821 -0.6782 8.2582
In Sm Y
6 12 1
direct
0.1228 0.7443 0.2739
0.8772 0.2557 0.7261
0.7443 0.2739 0.1228
0.2739 0.1228 0.7443
0.7261 0.8772 0.2557
0.2557 0.7261 0.8772
0.1240 0.3843 0.0759
0.0759 0.1240 0.3843
0.5645 0.1922 0.4729
0.9241 0.8760 0.6157
0.3843 0.0759 0.1240
0.4355 0.8078 0.5271
0.5271 0.4355 0.8078
0.8078 0.5271 0.4355
0.6157 0.9241 0.8760
0.4729 0.5645 0.1922
0.8760 0.6157 0.9241
0.1922 0.4729 0.5645
0.0000 0.0000 0.0000
```

Properties
DFT formation energy (eV/atom): -0.2293
Magnetization (μB per formula unit): 0.00
Symmetry: No. 148



(5)
The following is a DFT calculation (PBE-GGA) of a relaxed Tl2GaSbAu4 crystal.

The structure in POSCAR format:
```
Tl2GaSbAu4
1.0
-6.1921 -0.6407 -1.3971
0.3661 -8.1899 2.1330
-1.7573 1.7419 6.9897
Ga Au Tl Sb
2 8 4 2
direct
0.9823 0.1984 0.0000
0.4823 0.8016 0.5000
0.9039 0.4546 0.8087
0.4039 0.5454 0.6913
0.4039 0.5454 0.3087
0.7922 0.9859 0.5000
0.7276 0.9554 0.0000
0.9039 0.4546 0.1913
0.2276 0.0446 0.5000
0.2922 0.0141 0.0000
0.0485 0.7885 0.2431
0.5485 0.2115 0.2569
0.5485 0.2115 0.7431
0.0485 0.7885 0.7569
0.0932 0.3580 0.5000
0.5932 0.6420 0.0000
```

Properties
Raw formation energy (eV per atom): -0.0493
Magnetization (μB per formula unit): 0.00
Symmetry: No. 31



(6)
The following is a DFT calculation (PBE-GGA) of a relaxed Na2CaCuAs crystal.

The structure in POSCAR format:
```
Na2CaCuAs
1.0
-0.9414 2.8131 5.5619
1.9659 -4.1741 2.4439
5.7633 2.5348 -0.3065
Ca Na Cu As
1 2 1 1
direct
0.0000 0.0000 0.0000
0.0000 0.0000 0.5000
0.5000 0.0000 0.0000
0.5000 0.5000 0.5000
0.0000 0.5000 0.0000
```

Properties
DFT formation energy (eV/atom): 0.7029
Magnetization (μB per formula unit): 0.00
Symmetry: No. 123



(7)
The following is a DFT calculation (PBE-GGA) of a relaxed Ca2Br crystal.

The structure in POSCAR format:
```
Ca2Br
1.0
-6.8112 0.8376 -3.2055
-3.4777 -1.5828 -6.5398
4.4010 -1.9807 5.8376
Ca Br
2 1
direct
0.6543 0.6543 0.0000
0.3457 0.3457 0.0000
0.0000 0.0000 0.0000
```

Properties
Raw formation energy (eV per atom): -0.7900
Excess energy over the best structure of this formula in the dataset (meV per atom): 106
Magnetization (μB per formula unit): 0.00
Symmetry: No. 139



(8)
The following is a DFT calculation (PBE-GGA) of a relaxed HfZr2Pd9 crystal.

The structure in POSCAR format:
```
HfZr2Pd9
1.0
-0.9634 0.0832 3.9083
-3.8391 -0.7789 -0.9298
2.2110 -11.8503 0.7972
Pd Zr Hf
9 2 1
direct
0.5000 0.5000 0.6673
0.0000 0.5000 0.5000
0.5000 0.5000 0.3327
0.0000 0.5000 0.8349
0.5000 0.5000 0.0000
0.5000 0.0000 0.1651
0.0000 0.5000 0.1651
0.5000 0.0000 0.8349
0.5000 0.0000 0.5000
0.0000 0.0000 0.6670
0.0000 0.0000 0.3330
0.0000 0.0000 0.0000
```

Properties
DFT formation energy (eV/atom): -0.8080
Magnetization (μB per formula unit): 0.00
Symmetry: No. 123